# 1
AcTbNd2Er5 | GGA-PBE | relaxed

Lattice parameters (Å, degrees): 8.8189 8.8189 9.9640 116.27 116.27 90.00
Closest atoms and distances in Å follow each position.
Atoms (fractional coordinates):
1 Ac 0.2500 0.2500 0.5000  10 Er 3.65-3.89
2 Ac 0.7500 0.7500 0.5000  10 Er 3.65-3.89
3 Tb 0.2500 0.7500 0.5000  4 Er 3.16
4 Tb 0.7500 0.2500 0.5000  4 Er 3.16
5 Nd 0.1167 0.3833 0.0000  1 Nd 2.91, 2 Er 3.02
6 Nd 0.6167 0.1167 0.0000  1 Nd 2.91, 2 Er 3.02
7 Nd 0.3833 0.8833 0.0000  1 Nd 2.91, 2 Er 3.02
8 Nd 0.8833 0.6167 0.0000  1 Nd 2.91, 2 Er 3.02
9 Er 0.9259 0.4259 0.2663  1 Nd 3.02, 1 Tb 3.16
10 Er 0.6596 0.1596 0.7337  1 Nd 3.02, 1 Tb 3.16
11 Er 0.0741 0.5741 0.7337  1 Nd 3.02, 1 Tb 3.16
12 Er 0.1596 0.0741 0.7337  1 Nd 3.02, 1 Tb 3.16
13 Er 0.5741 0.6596 0.7337  1 Nd 3.02, 1 Tb 3.16
14 Er 0.8404 0.9259 0.2663  1 Nd 3.02, 1 Tb 3.16
15 Er 0.4259 0.3404 0.2663  1 Nd 3.02, 1 Tb 3.16
16 Er 0.3404 0.8404 0.2663  1 Nd 3.02, 1 Tb 3.16
17 Er 0.5000 0.5000 0.0000  4 Nd 3.53, 8 Er 3.78, 2 Ac 3.89
18 Er 0.0000 0.0000 0.0000  4 Nd 3.53, 8 Er 3.78, 2 Ac 3.89

* energy: -4.308 eV/atom
* SG: I4/mcm
* energy relative to the elements: 5.9 kcal/mol of atoms


# 2
AcTbNdEr | GGA-PBE | relaxed

Lattice parameters (Å, degrees): 3.7137 3.7137 11.8871 90.00 90.00 120.00
Closest atoms and distances in Å follow each position.
Atoms (fractional coordinates):
1 Ac 0.0000 0.0000 0.4299  6 Ac 3.71, 3 Er 3.73, 3 Nd 3.83
2 Tb 0.3333 0.6667 0.9202  3 Er 3.51, 3 Nd 3.59, 6 Tb 3.71
3 Nd 0.6667 0.3333 0.1626  3 Tb 3.59, 6 Nd 3.71, 3 Ac 3.83
4 Er 0.6667 0.3333 0.6867  3 Tb 3.51, 6 Er 3.71, 3 Ac 3.73

* offset from the most stable computed form: 0 meV per atom
* energy: -4.466 eV/atom
* SG: P3m1
* energy relative to the elements: 1.2 kcal/mol of atoms


# 3
AcTbNd4Er2 | GGA-PBE | relaxed

Lattice parameters (Å, degrees): 5.2023 5.1624 11.5520 63.45 90.00 90.00
Closest atoms and distances in Å follow each position.
Atoms (fractional coordinates):
1 Ac 0.5000 0.5000 0.0000  4 Er 3.66, 8 Nd 3.71-3.72
2 Tb 0.0000 0.5000 0.5000  8 Nd 3.60-3.61, 4 Er 3.66
3 Nd 0.0000 0.7565 0.7429  2 Tb 3.60, 4 Er 3.61-3.71, 4 Nd 3.66-3.67, 2 Ac 3.72
4 Nd 0.0000 0.2435 0.2571  2 Tb 3.60, 4 Er 3.61-3.71, 4 Nd 3.66-3.67, 2 Ac 3.72
5 Nd 0.5000 0.7420 0.2583  4 Er 3.59-3.73, 2 Tb 3.61, 4 Nd 3.66-3.67, 2 Ac 3.71
6 Nd 0.5000 0.2580 0.7416  4 Er 3.59-3.73, 2 Tb 3.61, 4 Nd 3.66-3.67, 2 Ac 3.71
7 Er 0.0000 0.0000 0.0000  4 Ac 3.66, 8 Nd 3.70-3.73
8 Er 0.5000 0.0000 0.5000  8 Nd 3.59-3.61, 4 Tb 3.66

* energy: -4.588 eV/atom
* SG: Pmmm
* energy relative to the elements: 0.7 kcal/mol of atoms


# 4
AcTb2NdEr | GGA-PBE | relaxed

Lattice parameters (Å, degrees): 6.4930 6.4828 9.3924 110.19 90.00 90.00
Closest atoms and distances in Å follow each position.
Atoms (fractional coordinates):
1 Ac 0.2500 0.6589 0.3178  1 Nd 3.31, 4 Er 3.59-3.65, 4 Tb 3.62
2 Ac 0.7500 0.3411 0.6822  1 Nd 3.31, 4 Er 3.59-3.65, 4 Tb 3.62
3 Tb 0.5000 0.2489 0.0000  4 Tb 3.23-3.26, 2 Nd 3.54
4 Tb 0.0000 0.7511 0.0000  4 Tb 3.23-3.26, 2 Nd 3.54
5 Tb 0.5000 0.7511 0.0000  4 Tb 3.23-3.26, 2 Nd 3.54
6 Tb 0.0000 0.2489 0.0000  4 Tb 3.23-3.26, 2 Nd 3.54
7 Nd 0.2500 0.8468 0.6936  1 Ac 3.31, 4 Tb 3.54, 4 Er 3.63-3.70
8 Nd 0.7500 0.1532 0.3064  1 Ac 3.31, 4 Tb 3.54, 4 Er 3.63-3.70
9 Er 0.7500 0.7463 0.4926  4 Ac 3.59-3.65, 4 Nd 3.63-3.70
10 Er 0.2500 0.2537 0.5074  4 Ac 3.59-3.65, 4 Nd 3.63-3.70

* energy: -4.152 eV/atom
* SG: Cmcm
* energy relative to the elements: 8.9 kcal/mol of atoms


# 5
AcTbNd2Er | GGA-PBE | relaxed

Lattice parameters (Å, degrees): 5.9121 9.9015 6.4567 109.30 90.00 90.00
Closest atoms and distances in Å follow each position.
Atoms (fractional coordinates):
1 Ac 0.2500 0.1054 0.9688  4 Tb 3.68-3.83, 3 Er 3.69-3.87, 3 Nd 3.70-3.71, 2 Ac 3.72
2 Ac 0.7500 0.8946 0.0312  4 Tb 3.68-3.83, 3 Er 3.69-3.87, 3 Nd 3.70-3.71, 2 Ac 3.72
3 Tb 0.2500 0.8949 0.3716  4 Nd 3.63-3.79, 2 Er 3.68-3.82, 2 Tb 3.68, 4 Ac 3.68-3.83
4 Tb 0.7500 0.1051 0.6284  4 Nd 3.63-3.79, 2 Er 3.68-3.82, 2 Tb 3.68, 4 Ac 3.68-3.83
5 Nd 0.7500 0.6993 0.4330  3 Tb 3.63-3.79, 3 Er 3.63-3.65, 4 Nd 3.65-3.77, 2 Ac 3.70-3.71
6 Nd 0.2500 0.3007 0.5670  3 Tb 3.63-3.79, 3 Er 3.63-3.65, 4 Nd 3.65-3.77, 2 Ac 3.70-3.71
7 Nd 0.7500 0.4978 0.8361  6 Nd 3.63-3.77, 4 Er 3.65-3.70, 1 Tb 3.67, 1 Ac 3.71
8 Nd 0.2500 0.5022 0.1639  6 Nd 3.63-3.77, 4 Er 3.65-3.70, 1 Tb 3.67, 1 Ac 3.71
9 Er 0.2500 0.6910 0.7558  7 Nd 3.63-3.70, 2 Tb 3.68-3.82, 3 Ac 3.69-3.87
10 Er 0.7500 0.3090 0.2442  7 Nd 3.63-3.70, 2 Tb 3.68-3.82, 3 Ac 3.69-3.87

* energy: -4.523 eV/atom
* SG: P2_1/m
* energy relative to the elements: 1.0 kcal/mol of atoms


# 6
Ac3Nd3ErTe8 | GGA-PBE | relaxed

Lattice parameters (Å, degrees): 9.1047 9.1046 9.2530 119.47 90.00 120.00
Closest atoms and distances in Å follow each position.
Atoms (fractional coordinates):
1 Ac 0.0000 0.0000 0.0000  6 Te 3.31
2 Ac 0.0000 0.5000 0.0000  6 Te 3.31
3 Ac 0.5000 0.5000 0.0000  6 Te 3.31
4 Nd 0.5000 0.0000 0.5000  6 Te 3.18-3.19
5 Nd 0.5000 0.5000 0.5000  6 Te 3.18-3.19
6 Nd 0.0000 0.5000 0.5000  6 Te 3.18-3.19
7 Er 0.0000 0.0000 0.5000  6 Te 3.14
8 Te 0.2548 0.5095 0.2643  3 Nd 3.18, 3 Ac 3.31
9 Te 0.7452 0.4905 0.7357  3 Nd 3.18, 3 Ac 3.31
10 Te 0.7578 0.5155 0.2669  1 Er 3.14, 2 Nd 3.19, 2 Ac 3.31
11 Te 0.2422 0.4845 0.7331  1 Er 3.14, 2 Nd 3.19, 2 Ac 3.31
12 Te 0.7578 0.0091 0.2669  1 Er 3.14, 2 Nd 3.19, 2 Ac 3.31
13 Te 0.2422 0.9909 0.7331  1 Er 3.14, 2 Nd 3.19, 2 Ac 3.31
14 Te 0.2513 0.0091 0.2669  1 Er 3.14, 2 Nd 3.19, 2 Ac 3.31
15 Te 0.7487 0.9909 0.7331  1 Er 3.14, 2 Nd 3.19, 2 Ac 3.31

* raw formation energy: -1.46 eV/atom
* energy: -5.220 eV/atom
* SG: R-3m


no.,total magnetization (μB/f.u.)
1,0.00
2,0.00
3,0.00
4,0.00
5,0.00
6,0.00